# CaI2O6

CaI2O6 after structural relaxation (PBE, the Alexandria database).

Values from the calculation:
- formation energy without anion corrections (eV per atom) = -1.00
- calculated density (kg/m³) = 3717
- offset from the most stable computed form (eV/f.u.) = 0.47

Geometry as CIF:
```
data_CaI2O6
_chemical_formula_sum 'Ca3 I6 O18'
_cell_length_a 5.7844
_cell_length_b 5.7844
_cell_length_c 18.0331
_cell_angle_alpha 90.00
_cell_angle_beta 90.00
_cell_angle_gamma 120.00
_symmetry_space_group_name_H-M 'R 3'
_symmetry_Int_Tables_number 146
_symmetry_space_group_name_Hall 'R 3'
loop_
_atom_site_label
_atom_site_fract_x
_atom_site_fract_y
_atom_site_fract_z
Ca1 0.0000 0.0000 0.0000
I1 0.0000 0.0000 0.2152
I2 0.0000 0.0000 0.4662
O1 0.0637 0.6987 0.9255
O2 0.0968 0.3490 0.0899
```